! Gd2ThRu, relaxed, DFT PBE; values from VASP
&SYSTEM
  ibrav = 0, nat = 4, ntyp = 3
/
ATOMIC_SPECIES
Ru 101.07 Ru.upf
Gd 157.25 Gd.upf
Th 232.04 Th.upf
ATOMIC_POSITIONS angstrom
Ru -2.383 6.042 1.748
Gd -0.529 6.609 3.769
Gd -4.238 5.474 -0.273
Th 0.000 0.000 0.000
CELL_PARAMETERS angstrom
-1.321 2.159 -2.374
-3.407 0.661 -0.039
-0.039 9.263 5.910
! SG: R-3m, No. 166
! Energy in eV per cell: -44.27
! V in Å³/cell: 112.7
! Crystal system: trigonal
! Polymorph energy (0 for the lowest one) in eV/f.u.: 1.070